Record 1
# NdHoTm

NdHoTm after structural relaxation (PBE, the Open Quantum Materials Database).

abc: 5.425 5.425 5.425
angles: 60.00 60.00 60.00
Fractional coordinates of all 3 atoms:
Tm  0.000  0.000  0.000
Nd  0.750  0.750  0.750
Ho  0.250  0.250  0.250

Properties
- E_tot (eV/f.u.) = -11.7
- ΔE_f (meV/atom) = 708



Record 2
# NdYHo

NdYHo after structural relaxation (PBE, the Open Quantum Materials Database).

abc: 5.474 5.474 5.474
angles: 60.00 60.00 60.00
Fractional coordinates of all 3 atoms:
Nd  0.250  0.250  0.250
Y  0.750  0.750  0.750
Ho  0.000  0.000  0.000

Properties
- E_tot (eV/f.u.) = -13.7
- ΔE_f (meV/atom) = 710



Record 3
# Nd3Y2Ho

Nd3Y2Ho after structural relaxation (PBE, the Open Quantum Materials Database).

abc: 6.288 6.288 11.648
angles: 90.00 90.00 59.99
Fractional coordinates of all 12 atoms:
Y  0.667  0.000  0.780
Nd  0.335  0.334  0.530
Ho  0.334  0.666  0.780
Y  0.000  0.667  0.280
Nd  0.999  0.001  0.030
Y  0.000  0.333  0.780
Nd  0.001  0.999  0.530
Nd  0.666  0.665  0.530
Y  0.333  0.000  0.280
Nd  0.334  0.335  0.030
Nd  0.665  0.666  0.030
Ho  0.666  0.334  0.280

Properties
- E_tot (eV/f.u.) = -31.8
- ΔE_f (meV/atom) = -5



Record 4
# NdHoZn4

NdHoZn4 after structural relaxation (PBE, the Open Quantum Materials Database).

abc: 5.694 5.694 5.694
angles: 133.26 101.70 96.42
Fractional coordinates of all 6 atoms:
Zn  0.374  0.167  0.206
Ho  0.528  0.528  0.000
Nd  0.967  0.467  0.500
Zn  0.540  0.836  0.704
Zn  0.961  0.167  0.794
Zn  0.131  0.836  0.296

Properties
- E_tot (eV/f.u.) = -16.6
- ΔE_f (meV/atom) = -373